VASP calculation (PBE+U) on a relaxed NaInWF6 crystal.

The value obtained for the final energy is -5.04 eV/atom.

The structure belongs to space group P-31c (No. 163); the cell edges are 5.9209, 5.9209 and 11.3191 Å and the angles 90.00°, 90.00° and 120.00°. The asymmetric unit holds Na at (0.3333, 0.6667, 0.2500), In at (0.0000, 0.0000, 0.0000), W at (0.3333, 0.6667, 0.7500) and F at (0.0441, 0.3931, 0.6487).